1.
Density functional theory data (PBE) for crystalline LiTaNb4N8 at its relaxed geometry.

M_tot: 0.000 μB per formula unit
Energy relative to the elements, uncorrected: -0.778 eV per atom
Uncorrected energy: -131.5 eV for the cell shown

Structure (CIF):
```
data_LiTaNb4N8
_chemical_formula_sum 'Li1 Ta1 Nb4 N8'
_cell_length_a 6.232
_cell_length_b 6.232
_cell_length_c 6.232
_cell_angle_alpha 59.77
_cell_angle_beta 59.77
_cell_angle_gamma 59.77
_symmetry_space_group_name_H-M 'P 1'
_symmetry_Int_Tables_number 1
_symmetry_space_group_name_Hall 'P 1'
loop_
_atom_site_label
_atom_site_fract_x
_atom_site_fract_y
_atom_site_fract_z
Li1 0.000 0.000 0.000
Ta1 0.377 0.377 0.377
Nb1 0.501 0.999 0.999
Nb2 0.621 0.621 0.621
Nb3 0.999 0.501 0.999
Nb4 0.999 0.999 0.501
N1 0.233 0.749 0.749
N2 0.246 0.246 0.246
N3 0.252 0.252 0.762
N4 0.252 0.762 0.252
N5 0.749 0.233 0.749
N6 0.749 0.749 0.233
N7 0.752 0.752 0.752
N8 0.762 0.252 0.252
```

=====

2.
Density functional theory data (PBE) for crystalline LiTa2Nb3N6 at its relaxed geometry.

M_tot: 0.000 μB per formula unit
Energy relative to the elements, uncorrected: -1.018 eV per atom
Uncorrected energy: -118.0 eV for the cell shown

Structure (CIF):
```
data_LiTa2Nb3N6
_chemical_formula_sum 'Li1 Ta2 Nb3 N6'
_cell_length_a 6.978
_cell_length_b 6.978
_cell_length_c 6.230
_cell_angle_alpha 104.08
_cell_angle_beta 104.08
_cell_angle_gamma 25.71
_symmetry_space_group_name_H-M 'P 1'
_symmetry_Int_Tables_number 1
_symmetry_space_group_name_Hall 'P 1'
loop_
_atom_site_label
_atom_site_fract_x
_atom_site_fract_y
_atom_site_fract_z
Li1 0.000 0.000 0.000
Ta1 0.346 0.346 0.685
Ta2 0.654 0.654 0.315
Nb1 0.000 0.000 0.500
Nb2 0.342 0.342 0.170
Nb3 0.658 0.658 0.830
N1 0.164 0.164 0.087
N2 0.172 0.172 0.572
N3 0.498 0.498 0.762
N4 0.502 0.502 0.238
N5 0.828 0.828 0.428
N6 0.836 0.836 0.913
```

=====

- M_tot of number 2 (LiTa2Nb3N6)?
  0.000 μB per formula unit

=====

- Among the records above, which one has the lowest energy relative to the elements, uncorrected?
  LiTa2Nb3N6